Entry from the Alexandria database: a relaxed CaTbNiPt crystal (PBE).

Output
* energy relative to the elements: -2.5 eV per formula unit
* space-group type: F-43m (216)
* D(E_F): 2.6 states/eV per cell
* E: -21.0 eV/cell

abc: 4.8779 4.8779 4.8779
angles: 60.00 60.00 60.00
Element x y z (fractional)
Ni 0.7500 0.7500 0.7500
Ca 0.5000 0.5000 0.5000
Tb 0.0000 0.0000 0.0000
Pt 0.2500 0.2500 0.2500

Entry from the Alexandria database: a relaxed Tc2PbF11 crystal (PBE).

Output
* space-group type: Ibam (72)
* D(E_F): 23.0 states/eV per cell
* E: -150.1 eV/cell
* formation energy (no corrections): -2.146 eV/atom

abc: 9.1937 8.4764 8.4764
angles: 65.53 57.16 57.16
Site moments in Bohr magnetons follow the coordinates.
Element x y z (fractional)
Tc 0.6579 0.6571 0.3429  1.98
Tc 0.3421 0.3429 0.6571  1.98
Tc 0.8421 0.1571 0.8429  1.98
Tc 0.1579 0.8429 0.1571  1.98
Pb 0.7500 0.7500 0.7500  0.00
Pb 0.2500 0.2500 0.2500  0.00
F 0.6389 0.6789 0.5728  0.07
F 0.3611 0.3211 0.4272  0.07
F 0.1094 0.5728 0.6789  0.07
F 0.8611 0.9272 0.8211  0.07
F 0.8906 0.4272 0.3211  0.07
F 0.1389 0.0728 0.1789  0.07
F 0.3906 0.8211 0.9272  0.07
F 0.6094 0.1789 0.0728  0.07
F 0.5000 0.5000 0.5000  0.02
F 0.0000 0.0000 0.0000  0.02
F 0.8006 0.7989 0.2011  0.08
F 0.1994 0.2011 0.7989  0.08
F 0.6994 0.2989 0.7011  0.08
F 0.3006 0.7011 0.2989  0.08
F 0.4287 0.8907 0.3611  0.07
F 0.5713 0.1093 0.6389  0.07
F 0.3195 0.3611 0.8907  0.07
F 0.0713 0.1389 0.6093  0.07
F 0.6805 0.6389 0.1093  0.07
F 0.9287 0.8611 0.3907  0.07
F 0.1805 0.6093 0.1389  0.07
F 0.8195 0.3907 0.8611  0.07

Entry from the Alexandria database: a relaxed FeRuW2 crystal (PBE).

Output
* energy relative to the elements: 1.1 eV per formula unit
* space-group type: Fm-3m (225)
* D(E_F): 4.7 states/eV per cell
* E above lowest polymorph: 167 meV per atom
* E: -42.5 eV/cell

abc: 4.3532 4.3532 4.3532
angles: 60.00 60.00 60.00
Site moments in Bohr magnetons follow the coordinates.
Element x y z (fractional)
Ru 0.5000 0.5000 0.5000  0.23
Fe 0.0000 0.0000 0.0000  1.99
W 0.2500 0.2500 0.2500  0.08
W 0.7500 0.7500 0.7500  0.08

Entry from the Alexandria database: a relaxed Pr8NiPd3Br4 crystal (PBE).

Output
* space-group type: R-3m (166)
* D(E_F): 13.1 states/eV per cell
* E: -81.4 eV/cell
* formation energy (no corrections): -0.941 eV/atom

abc: 8.4543 9.2038 8.4573
angles: 117.39 119.99 90.00
Element x y z (fractional)
Pr 0.2276 0.6974 0.9704
Pr 0.2276 0.6974 0.4552
Pr 0.2657 0.2978 0.5314
Pr 0.7428 0.6974 0.9704
Pr 0.2572 0.3026 0.0296
Pr 0.7343 0.7022 0.4686
Pr 0.7724 0.3026 0.5448
Pr 0.7724 0.3026 0.0296
Ni 0.0000 0.5000 0.0000
Pd 0.5000 0.5000 0.0000
Pd 0.5000 0.5000 0.5000
Pd 0.0000 0.5000 0.5000
Br 0.5000 0.0000 0.0000
Br 0.5000 0.0000 0.5000
Br 0.0000 0.0000 0.0000
Br 0.0000 0.0000 0.5000